[1]
The following is a PBE calculation of PrNd3Ni after structural relaxation, from Alexandria via LeMat-Bulk.

a = 5.5106 Å, b = 5.5106 Å, c = 5.5106 Å
α = 90.00°, β = 90.00°, γ = 90.00°
Last column: nearest neighbours and their distance in Å.
Space group Pm-3m (No. 221)
Unique sites:
Pr: 0.0000 0.0000 0.0000  12 Nd 3.90
Nd: 0.0000 0.5000 0.5000  2 Ni 2.76
Ni: 0.5000 0.5000 0.5000  6 Nd 2.76

Computed properties:
Polymorph energy (0 for the lowest one) (meV/atom): 127.1
Theoretical density (g cm⁻³): 6.27
D(E_F) (states/eV per atom): 2.314
Energy of formation from the pure elements (meV per atom): 15



[2]
The following is a PBE calculation of Pr3NdNi3 after structural relaxation, from Alexandria via LeMat-Bulk.

a = 9.4099 Å, b = 10.4005 Å, c = 7.0474 Å
α = 90.00°, β = 90.08°, γ = 90.00°
Last column: nearest neighbours and their distance in Å.
Space group C2/m (No. 12)
Unique sites:
Pr: 0.0000 0.1773 0.0000  6 Ni 2.79-2.96
Pr: 0.0000 0.2494 0.5000  6 Ni 2.94-3.23
Pr: 0.1677 0.5000 0.8767  3 Ni 2.88-2.93
Nd: 0.2463 0.5000 0.3750  4 Ni 2.79-2.96
Ni: 0.0585 0.0000 0.3197  1 Ni 2.77, 2 Nd 2.83-2.96, 5 Pr 2.93-2.96
Ni: 0.2385 0.2583 0.2034  1 Nd 2.79, 4 Pr 2.79-3.07, 1 Ni 2.88

Computed properties:
Theoretical density (g cm⁻³): 7.16
D(E_F) (states/eV per atom): 1.019
Energy of formation from the pure elements (meV per atom): -165



[3]
The following is a PBE calculation of Pr2NdNi2 after structural relaxation, from Alexandria via LeMat-Bulk.

a = 11.5258 Å, b = 3.9119 Å, c = 5.9417 Å
α = 90.00°, β = 106.48°, γ = 90.00°
Last column: nearest neighbours and their distance in Å.
Space group C2/m (No. 12)
Unique sites:
Pr: 0.1517 0.0000 0.1051  3 Ni 2.78-2.85
Nd: 0.0000 0.5000 0.5000  4 Ni 3.06
Ni: 0.2127 0.0000 0.6047  2 Ni 2.59, 3 Pr 2.78-2.85

Computed properties:
Polymorph energy (0 for the lowest one) (meV/atom): 94.6
Theoretical density (g cm⁻³): 7.03
D(E_F) (states/eV per atom): 1.342
Energy of formation from the pure elements (meV per atom): -121



[4]
The following is a PBE calculation of Pr2NdNi after structural relaxation, from Alexandria via LeMat-Bulk.

a = 3.5899 Å, b = 3.5899 Å, c = 9.0021 Å
α = 90.00°, β = 90.00°, γ = 90.00°
Last column: nearest neighbours and their distance in Å.
Space group P4/mmm (No. 123)
Unique sites:
Pr: 0.0000 0.0000 0.1861  4 Ni 3.04, 1 Pr 3.35
Nd: 0.5000 0.5000 0.5000  4 Nd 3.59, 8 Pr 3.80
Ni: 0.5000 0.5000 0.0000  8 Pr 3.04

Computed properties:
Polymorph energy (0 for the lowest one) (meV/atom): 101.6
Theoretical density (g cm⁻³): 6.94
D(E_F) (states/eV per atom): 1.592
Energy of formation from the pure elements (meV per atom): -58



| no. | E_tot (eV per atom) |
| --- | --- |
| 1 | -4.958 |
| 2 | -5.372 |
| 3 | -5.299 |
| 4 | -5.085 |